No. 1
A relaxed structure of BaNaSbTe2, computed with PBE-GGA.

Crystal system = tetragonal
VASP energy = -2.6556 eV per atom
Formation energy (no corrections) = 0.074 eV/atom
V = 55.80 Å³/atom
M_tot = 1.73 μB/f.u.
ΔE to the lowest computed polymorph = 421 meV/atom

Unit cell a=6.553 b=6.553 c=6.496 alpha=90.00 beta=90.00 gamma=90.00
Fractional coordinates of all 5 atoms:
Ba 0.000 0.000 0.000
Na 0.500 0.500 0.500
Sb 0.000 0.000 0.500
Te 0.000 0.500 0.000
Te 0.500 0.000 0.000

No. 2
A relaxed structure of RbMn2ZnCl8, computed with PBE-GGA.

Crystal system = trigonal
VASP energy = -4.0883 eV per atom
Formation energy (no corrections) = -1.142 eV/atom
V = 27.95 Å³/atom
M_tot = 9.00 μB/f.u.

Unit cell a=6.516 b=6.516 c=9.123 alpha=90.00 beta=90.00 gamma=120.00
Fractional coordinates of all 12 atoms:
Rb 0.000 0.000 0.000
Mn 0.333 0.667 0.720
Mn 0.667 0.333 0.280
Zn 0.000 0.000 0.500
Cl 0.001 0.309 0.661
Cl 0.308 0.999 0.661
Cl 0.309 0.308 0.339
Cl 0.333 0.667 0.964
Cl 0.667 0.333 0.036
Cl 0.691 0.692 0.661
Cl 0.692 0.001 0.339
Cl 0.999 0.691 0.339

What did the second record say?
A relaxed structure of RbMn2ZnCl8, computed with PBE-GGA.

Crystal system = trigonal
VASP energy = -4.0883 eV per atom
Formation energy (no corrections) = -1.142 eV/atom
V = 27.95 Å³/atom
M_tot = 9.00 μB/f.u.

Unit cell a=6.516 b=6.516 c=9.123 alpha=90.00 beta=90.00 gamma=120.00
Fractional coordinates of all 12 atoms:
Rb 0.000 0.000 0.000
Mn 0.333 0.667 0.720
Mn 0.667 0.333 0.280
Zn 0.000 0.000 0.500
Cl 0.001 0.309 0.661
Cl 0.308 0.999 0.661
Cl 0.309 0.308 0.339
Cl 0.333 0.667 0.964
Cl 0.667 0.333 0.036
Cl 0.691 0.692 0.661
Cl 0.692 0.001 0.339
Cl 0.999 0.691 0.339

Look up the V of the first one.
55.80 Å³/atom

The highest formation energy (no corrections) belongs to which entry?
BaNaSbTe2

Among the records above, which one has the highest V?
BaNaSbTe2